No. 1
Density functional theory data (PBE) for crystalline CdAg at its relaxed geometry.

Geometry as POSCAR:
```
CdAg
1.0
3.0513 0.0000 0.0000
-1.5257 2.6425 0.0000
0.0000 0.0000 4.8029
Cd Ag
1 1
Direct
0.0000 0.0000 0.0000
0.3333 0.6667 0.5000
```

## Properties
Space group: P-6m2, No. 187

No. 2
Density functional theory data (PBE) for crystalline CdAg2 at its relaxed geometry.

Geometry as POSCAR:
```
CdAg2
1.0
0.0000 3.9173 3.9173
3.9173 0.0000 3.9173
3.9173 3.9173 0.0000
Cd Ag
2 4
Direct
0.1250 0.1250 0.1250
0.8750 0.8750 0.8750
0.0000 0.5000 0.5000
0.5000 0.0000 0.5000
0.5000 0.5000 0.0000
0.5000 0.5000 0.5000
```

## Properties
Space group: Fd-3m, No. 227

No. 3
Density functional theory data (PBE) for crystalline Cd2Ag at its relaxed geometry.

Geometry as POSCAR:
```
Cd2Ag
1.0
5.5006 0.0000 0.0000
0.0000 4.7743 0.0000
0.0000 0.0000 9.2022
Cd Ag
8 4
Direct
0.1335 0.2500 0.1726
0.1689 0.2500 0.5130
0.3311 0.7500 0.0130
0.3665 0.7500 0.6726
0.6335 0.2500 0.3273
0.6689 0.2500 0.9870
0.8311 0.7500 0.4870
0.8665 0.7500 0.8274
0.1880 0.2500 0.8362
0.3120 0.7500 0.3362
0.6880 0.2500 0.6638
0.8120 0.7500 0.1638
```

## Properties
Space group: Pnma, No. 62

No. 4
Density functional theory data (PBE) for crystalline CdAg17 at its relaxed geometry.

Geometry as POSCAR:
```
CdAg17
1.0
5.8580 0.0000 0.0000
-2.9290 5.0731 0.0000
0.0000 0.0000 34.4741
Cd Ag
2 34
Direct
0.3333 0.6667 0.2826
0.6667 0.3333 0.7174
0.0000 0.0000 0.0000
0.0000 0.0000 0.2090
0.0000 0.0000 0.7910
0.0000 0.5000 0.0000
0.0009 0.5004 0.7914
0.1665 0.3330 0.9304
0.1665 0.8335 0.9304
0.1666 0.3332 0.1395
0.1668 0.3335 0.7209
0.1666 0.8334 0.1395
0.1668 0.8332 0.7209
0.3330 0.1665 0.0696
0.3332 0.1666 0.8605
0.3333 0.6667 0.0696
0.3333 0.6667 0.8610
0.3335 0.1668 0.2791
0.5000 0.0000 0.0000
0.5004 0.0009 0.2086
0.5000 0.5000 0.0000
0.5004 0.4996 0.2086
0.4996 0.5004 0.7914
0.4996 0.9991 0.7914
0.6665 0.8332 0.7209
0.6667 0.3333 0.1390
0.6667 0.3333 0.9304
0.6668 0.8334 0.1395
0.6670 0.8335 0.9304
0.8332 0.1668 0.2791
0.8334 0.1666 0.8605
0.8332 0.6665 0.2791
0.8334 0.6668 0.8605
0.8335 0.1665 0.0696
0.8335 0.6670 0.0696
0.9991 0.4996 0.2086
```

## Properties
Space group: P-3m1, No. 164

Calculated formation enthalpy at 0 K (meV/atom), listed in the same order as above: -56, 26, -65, 51